# Pu3AlGa2

Pu3AlGa2 after structural relaxation (PBE, Alexandria via LeMat-Bulk).

Output
The magnetization is 16.40 Bohr magnetons per cell. The value obtained for the total energy is -9.067 eV per atom. Its space group is P4/mmm (123). Its formation energy is -268.6 meV/atom.

abc: 3.0676 3.0676 13.6768
angles: 90.00 90.00 90.00
Last column: nearest neighbours and their distance in Å.
Fractional coordinates of all 6 atoms:
Pu (0.0000, 0.0000, 0.0000)  4 Pu 3.07, 8 Ga 3.14
Pu (0.0000, 0.0000, 0.3309)  4 Pu 3.07, 4 Ga 3.13, 4 Al 3.17
Pu (0.0000, 0.0000, 0.6691)  4 Pu 3.07, 4 Ga 3.13, 4 Al 3.17
Al (0.5000, 0.5000, 0.5000)  4 Al 3.07, 8 Pu 3.17
Ga (0.5000, 0.5000, 0.1656)  4 Ga 3.07, 8 Pu 3.13-3.14
Ga (0.5000, 0.5000, 0.8344)  4 Ga 3.07, 8 Pu 3.13-3.14